[1]
Density functional theory data (PBE) for a relaxed SrHgPb2Au2 crystal.

Geometry as CIF:
```
data_SrHgPb2Au2
_chemical_formula_sum 'Sr2 Hg2 Pb4 Au4'
_cell_length_a 5.5976
_cell_length_b 5.5976
_cell_length_c 14.0691
_cell_angle_alpha 90.00
_cell_angle_beta 90.00
_cell_angle_gamma 90.00
_symmetry_space_group_name_H-M 'P 1'
_symmetry_Int_Tables_number 1
_symmetry_space_group_name_Hall 'P 1'
loop_
_atom_site_label
_atom_site_type_symbol
_atom_site_fract_x
_atom_site_fract_y
_atom_site_fract_z
Sr1 Sr 0.0000 0.0000 0.0000
Sr2 Sr 0.5000 0.5000 0.5000
Hg1 Hg 0.0000 0.0000 0.5000
Hg2 Hg 0.5000 0.5000 0.0000
Pb1 Pb 0.0000 0.5000 0.2500
Pb2 Pb 0.0000 0.5000 0.7500
Pb3 Pb 0.5000 0.0000 0.2500
Pb4 Pb 0.5000 0.0000 0.7500
Au1 Au 0.0000 0.0000 0.2079
Au2 Au 0.0000 0.0000 0.7921
Au3 Au 0.5000 0.5000 0.2921
Au4 Au 0.5000 0.5000 0.7079
```

Computed properties:
Energy in eV per cell: -33.03



[2]
Density functional theory data (PBE) for a relaxed TiHSN2 crystal.

Geometry as CIF:
```
data_TiHSN2
_chemical_formula_sum 'Ti1 H1 S1 N2'
_cell_length_a 3.8147
_cell_length_b 3.8147
_cell_length_c 3.0066
_cell_angle_alpha 90.00
_cell_angle_beta 90.00
_cell_angle_gamma 90.00
_symmetry_space_group_name_H-M 'P 1'
_symmetry_Int_Tables_number 1
_symmetry_space_group_name_Hall 'P 1'
loop_
_atom_site_label
_atom_site_type_symbol
_atom_site_fract_x
_atom_site_fract_y
_atom_site_fract_z
Ti1 Ti 0.0000 0.0000 0.0000
H1 H 0.5000 0.5000 0.5000
S1 S 0.5000 0.5000 0.0000
N1 N 0.0000 0.5000 0.5000
N2 N 0.5000 0.0000 0.5000
```

Computed properties:
Distance to the lowest polymorph of the same formula in eV per atom: 0.073



[3]
Density functional theory data (PBE) for a relaxed TeOs4Br crystal.

Geometry as CIF:
```
data_TeOs4Br
_chemical_formula_sum 'Te1 Os4 Br1'
_cell_length_a 5.3521
_cell_length_b 5.3521
_cell_length_c 5.3521
_cell_angle_alpha 60.00
_cell_angle_beta 60.00
_cell_angle_gamma 60.00
_symmetry_space_group_name_H-M 'P 1'
_symmetry_Int_Tables_number 1
_symmetry_space_group_name_Hall 'P 1'
loop_
_atom_site_label
_atom_site_type_symbol
_atom_site_fract_x
_atom_site_fract_y
_atom_site_fract_z
Te1 Te 0.0000 0.0000 0.0000
Os1 Os 0.3745 0.3745 0.3745
Os2 Os 0.3745 0.3745 0.8765
Os3 Os 0.3745 0.8765 0.3745
Os4 Os 0.8765 0.3745 0.3745
Br1 Br 0.7500 0.7500 0.7500
```

Computed properties:
ΔE_f (raw) in kJ/mol of atoms: 145.4